# GGA-PBE TbDy3Y4, relaxed
data_TbDy3Y4
_chemical_formula_sum 'Tb2 Dy6 Y8'
_cell_length_a 5.628
_cell_length_b 26.296
_cell_length_c 3.556
_cell_angle_alpha 90.00
_cell_angle_beta 90.00
_cell_angle_gamma 90.00
_symmetry_space_group_name_H-M 'C m m m'
_symmetry_Int_Tables_number 65
_symmetry_space_group_name_Hall '-C 2 2'
loop_
_atom_site_label
_atom_site_fract_x
_atom_site_fract_y
_atom_site_fract_z
Tb1 0.000 0.000 0.000
Dy1 0.000 0.345 0.000
Dy2 0.000 0.500 0.500
Y1 0.000 0.103 0.500
Y2 0.000 0.223 0.500
# * ΔH_f (0 K): 209 meV/atom
# * polymorph energy (0 for the lowest one): 205 meV per atom
# * total energy: -85.24 eV/cell